Entry from Alexandria via LeMat-Bulk: a relaxed TbSmTlHg crystal (PBE).

Results
total energy: -3.427 eV per atom
formation energy from the elements: -1.690 eV per formula unit
magnetic moment: 0.54 μB per formula unit

a b c (Å): 3.795 3.795 7.650
angles (deg): 90.00 90.00 90.00
Each line ends with the local moment (μB).
Positions (direct):
1 Tb 0.500 0.500 0.597  0.11
2 Sm 0.500 0.500 0.114  0.18
3 Tl 0.000 0.000 0.851  0.00
4 Hg 0.000 0.000 0.366  0.02